# 1
## In2OsRh (PBE-GGA)

Data for crystalline In2OsRh at its relaxed geometry.

It has space group P4mm (No. 99), with a = 2.9565 Å, b = 2.9565 Å, c = 8.4145 Å, α = 90.00°, β = 90.00° and γ = 90.00°. The asymmetric unit holds In at (0.0000, 0.0000, 0.0000), In at (0.5000, 0.5000, 0.3232), Os at (0.0000, 0.0000, 0.5650) and Rh at (0.5000, 0.5000, 0.7579).

The formation enthalpy at 0 K is 1.0 eV per formula unit. The spin magnetization comes out at 0.0 Bohr magnetons per cell. As for the volume: 18.39 Å³ per atom. For the energy relative to the lowest polymorph listed for this composition, the calculation gives 176 meV per atom.

# 2
## Nd3Ho4Sc2 (PBE-GGA)

Data for crystalline Nd3Ho4Sc2 at its relaxed geometry.

It has space group P-1 (No. 2), with a = 6.6458 Å, b = 8.0392 Å, c = 11.5640 Å, α = 100.63°, β = 102.02° and γ = 106.12°. The asymmetric unit holds Nd at (0.1042, 0.4052, 0.3818), Nd at (0.2617, 0.3320, 0.9781), Nd at (0.3432, 0.0299, 0.7335), Ho at (0.1593, 0.0543, 0.1846), Ho at (0.2490, 0.7779, 0.9479), Ho at (0.4022, 0.5230, 0.7186), Ho at (0.4684, 0.2014, 0.4948), Sc at (0.0360, 0.8341, 0.4202) and Sc at (0.1771, 0.6456, 0.1959).

The formation enthalpy at 0 K is 0.6 eV per formula unit. The spin magnetization comes out at 0.0 Bohr magnetons per cell. As for the volume: 31.16 Å³ per atom. For the energy relative to the lowest polymorph listed for this composition, the calculation gives 0 meV per atom.

# 3
## AlFeOsRu (PBE-GGA)

Data for crystalline AlFeOsRu at its relaxed geometry.

It has space group F-43m (No. 216), with a = 5.9854 Å, b = 5.9854 Å, c = 5.9854 Å, α = 90.00°, β = 90.00° and γ = 90.00°. The asymmetric unit holds Al at (0.0000, 0.0000, 0.0000), Fe at (0.0000, 0.0000, 0.5000), Os at (0.2500, 0.2500, 0.2500) and Ru at (0.2500, 0.2500, 0.7500).

The formation enthalpy at 0 K is -0.8 eV per formula unit. The spin magnetization comes out at 12.2 Bohr magnetons per cell. As for the volume: 13.40 Å³ per atom.

# 4
## Mg2CuSb (PBE-GGA)

Data for crystalline Mg2CuSb at its relaxed geometry.

It has space group C2/m (No. 12), with a = 8.6002 Å, b = 3.2956 Å, c = 6.0542 Å, α = 90.00°, β = 101.39° and γ = 90.00°. The asymmetric unit holds Mg at (0.2397, 0.0000, 0.2096), Cu at (0.0000, 0.5000, 0.0000) and Sb at (0.0000, 0.0000, 0.5000).

The uncorrected formation energy comes out at -29 meV per atom. The spin magnetization comes out at 0.0 Bohr magnetons per cell. As for the volume: 21.03 Å³ per atom.

# 5
## CaCe2TmS4 (PBE-GGA)

Data for crystalline CaCe2TmS4 at its relaxed geometry.

It has space group P2/m (No. 10), with a = 6.8604 Å, b = 3.9494 Å, c = 6.9828 Å, α = 90.00°, β = 108.98° and γ = 90.00°. The asymmetric unit holds Ca at (0.0000, 0.0000, 0.0000), Ce at (0.0000, 0.5000, 0.5000), Ce at (0.5000, 0.0000, 0.5000), Tm at (0.5000, 0.5000, 0.0000), S at (0.2513, 0.5000, 0.2380) and S at (0.2597, 0.0000, 0.7656).

The uncorrected formation energy comes out at -2006 meV per atom. The spin magnetization comes out at 2.2 Bohr magnetons per cell. As for the volume: 22.36 Å³ per atom.

# 6
## SrCdSb3 (PBE-GGA)

Data for crystalline SrCdSb3 at its relaxed geometry.

It has space group Pm-3m (No. 221), with a = 6.0191 Å, b = 6.0191 Å, c = 6.0191 Å, α = 90.00°, β = 90.00° and γ = 90.00°. The asymmetric unit holds Sr at (0.0000, 0.0000, 0.0000), Cd at (0.5000, 0.5000, 0.5000) and Sb at (0.0000, 0.0000, 0.5000).

The uncorrected formation energy comes out at 734 meV per atom. The spin magnetization comes out at 0.0 Bohr magnetons per cell. As for the volume: 43.61 Å³ per atom. For the energy relative to the lowest polymorph listed for this composition, the calculation gives 642 meV per atom.

# 7
## InTcPt2 (PBE-GGA)

Data for crystalline InTcPt2 at its relaxed geometry.

It has space group F-43m (No. 216), with a = 6.4333 Å, b = 6.4333 Å, c = 6.4333 Å, α = 90.00°, β = 90.00° and γ = 90.00°. The asymmetric unit holds In at (0.0000, 0.0000, 0.0000), Tc at (0.2500, 0.2500, 0.2500), Pt at (0.0000, 0.0000, 0.5000) and Pt at (0.2500, 0.2500, 0.7500).

The formation enthalpy at 0 K is 0.2 eV per formula unit. The spin magnetization comes out at 6.2 Bohr magnetons per cell. As for the volume: 16.64 Å³ per atom.

# 8
## KSi (PBE-GGA)

Data for crystalline KSi at its relaxed geometry.

It has space group P1 (No. 1), with a = 3.9844 Å, b = 3.9846 Å, c = 9.9367 Å, α = 88.84°, β = 89.11° and γ = 60.02°. The asymmetric unit holds K at (0.0000, 0.0000, 0.0000), K at (0.3445, 0.3577, 0.4207), Si at (0.3379, 0.3437, 0.7593) and Si at (0.6726, 0.6802, 0.6854).

The uncorrected formation energy comes out at 59 meV per atom. The spin magnetization comes out at 0.0 Bohr magnetons per cell. As for the volume: 34.16 Å³ per atom. For the energy relative to the lowest polymorph listed for this composition, the calculation gives 132 meV per atom.

# 9
## RbNpHgSe3 (PBE-GGA)

Data for crystalline RbNpHgSe3 at its relaxed geometry.

It has space group P2_1/m (No. 11), with a = 8.9153 Å, b = 4.1957 Å, c = 10.8715 Å, α = 90.00°, β = 107.77° and γ = 90.00°. The asymmetric unit holds Rb at (0.2299, 0.2500, 0.2761), Np at (0.3401, 0.7500, 0.8458), Hg at (0.1104, 0.2500, 0.5693), Se at (0.1189, 0.2500, 0.8327), Se at (0.3319, 0.7500, 0.5885) and Se at (0.4329, 0.7500, 0.1208).

The uncorrected formation energy comes out at -892 meV per atom. The spin magnetization comes out at 6.2 Bohr magnetons per cell. As for the volume: 32.27 Å³ per atom.

# 10
## NaTcO (PBE-GGA)

Data for crystalline NaTcO at its relaxed geometry.

It has space group P2_1/m (No. 11), with a = 2.7774 Å, b = 3.7918 Å, c = 7.4971 Å, α = 90.00°, β = 93.51° and γ = 90.00°. The asymmetric unit holds Na at (0.2347, 0.2500, 0.3738), Tc at (0.1290, 0.7500, 0.0884) and O at (0.2943, 0.2500, 0.6957).

The uncorrected formation energy comes out at -839 meV per atom. The spin magnetization comes out at 0.0 Bohr magnetons per cell. As for the volume: 13.13 Å³ per atom. For the energy relative to the lowest polymorph listed for this composition, the calculation gives 115 meV per atom.

# 11
## MgSc8 (PBE-GGA)

Data for crystalline MgSc8 at its relaxed geometry.

It has space group I4/mmm (No. 139), with a = 9.7347 Å, b = 9.7347 Å, c = 4.6276 Å, α = 90.00°, β = 90.00° and γ = 90.00°. The asymmetric unit holds Mg at (0.0000, 0.0000, 0.0000), Sc at (0.0000, 0.3349, 0.0000) and Sc at (0.1680, 0.1680, 0.5000).

The formation enthalpy at 0 K is 0.4 eV per formula unit. The spin magnetization comes out at 0.0 Bohr magnetons per cell. As for the volume: 24.36 Å³ per atom.

# 12
## K2Ga4HgGe3 (PBE-GGA)

Data for crystalline K2Ga4HgGe3 at its relaxed geometry.

It has space group P-4m2 (No. 115), with a = 4.6797 Å, b = 4.6797 Å, c = 10.8066 Å, α = 90.00°, β = 90.00° and γ = 90.00°. The asymmetric unit holds K at (0.0000, 0.5000, 0.2453), Ga at (0.0000, 0.0000, 0.0000), Ga at (0.0000, 0.5000, 0.6356), Ga at (0.5000, 0.5000, 0.0000), Hg at (0.0000, 0.0000, 0.5000), Ge at (0.0000, 0.5000, 0.8752) and Ge at (0.5000, 0.5000, 0.5000).

The formation enthalpy at 0 K is -1.2 eV per formula unit. The spin magnetization comes out at 0.0 Bohr magnetons per cell. As for the volume: 23.67 Å³ per atom.